No. 1
ErMg2Pb | PBE | relaxed

Values from the calculation:
Crystal system: tetragonal
Energy above the lowest structure with this stoichiometry: 187 meV per atom
Formation enthalpy at 0 K: -0.09 eV per atom
Total magnetization: 0.00 μB per cell
Space group: P4/mmm, No. 123

abc: 3.538 3.538 8.455
angles: 90.00 90.00 90.00
Positions (direct):
Mg 0.000 0.000 0.760
Er 0.500 0.500 0.500
Pb 0.500 0.500 0.000
Mg 0.000 0.000 0.240


No. 2
Zn2ReCl | PBE | relaxed

Values from the calculation:
Crystal system: orthorhombic
Energy above the lowest structure with this stoichiometry: 0 meV per atom
Formation energy from raw total energies: 0.160 eV per atom
Total magnetization: 0.00 μB per cell
Space group: Pmmm, No. 47

abc: 2.833 3.007 7.789
angles: 90.00 90.00 90.00
Positions (direct):
Re 0.500 0.750 0.750
Zn 0.000 0.250 0.979
Zn 0.000 0.250 0.521
Cl 0.500 0.250 0.250


No. 3
HfB2Se6 | PBE | relaxed

Values from the calculation:
Crystal system: monoclinic
Formation energy from raw total energies: -0.323 eV per atom
Total magnetization: 0.00 μB per cell
Space group: C2/c, No. 15

abc: 6.448 8.191 8.191
angles: 76.79 81.79 81.79
Positions (direct):
Se 0.819 0.899 0.428
Se 0.181 0.101 0.572
Hf 0.750 0.878 0.122
Hf 0.250 0.122 0.878
Se 0.877 0.598 0.737
Se 0.865 0.194 0.023
Se 0.319 0.428 0.899
Se 0.135 0.806 0.977
Se 0.377 0.737 0.598
Se 0.681 0.572 0.101
Se 0.623 0.263 0.402
Se 0.365 0.023 0.194
B 0.842 0.342 0.199
B 0.342 0.199 0.342
B 0.658 0.801 0.658
B 0.158 0.658 0.801
Se 0.635 0.977 0.806
Se 0.123 0.402 0.263


No. 4
YAs2BrCl | PBE | relaxed

Values from the calculation:
Crystal system: tetragonal
Energy above the lowest structure with this stoichiometry: 112 meV per atom
Formation energy from raw total energies: 0.083 eV per atom
Total magnetization: 0.00 μB per cell
Space group: P4/mmm, No. 123

abc: 4.726 4.726 5.856
angles: 90.00 90.00 90.00
Positions (direct):
As 0.000 0.500 0.000
Y 0.500 0.500 0.500
Br 0.000 0.000 0.500
Cl 0.000 0.000 0.000
As 0.500 0.000 0.000


| no. | E (eV per atom) |
| --- | --- |
| 1 | -2.96 |
| 2 | -4.05 |
| 3 | -5.24 |
| 4 | -3.77 |